DFT (PBE-GGA) results for a relaxed UTl3Cd2O6 crystal.

Unit cell a=5.937 b=5.937 c=7.116 alpha=97.92 beta=97.92 gamma=120.01
Atoms (fractional coordinates):
U (0.000, 0.000, 0.000)
Tl (0.166, 0.834, 0.500)
Tl (0.500, 0.500, 0.500)
Tl (0.834, 0.166, 0.500)
Cd (0.334, 0.666, 0.000)
Cd (0.666, 0.334, 0.000)
O (0.058, 0.359, 0.171)
O (0.243, 0.243, 0.825)
O (0.359, 0.058, 0.171)
O (0.641, 0.942, 0.829)
O (0.757, 0.757, 0.175)
O (0.942, 0.641, 0.829)

Uncorrected formation energy = -17.9 eV per formula unit

DFT (PBE-GGA) results for a relaxed CsKHg2 crystal.

Unit cell a=4.579 b=4.579 c=8.377 alpha=90.00 beta=90.00 gamma=90.00
Atoms (fractional coordinates):
Cs (0.000, 0.000, 0.000)
K (0.000, 0.000, 0.500)
Hg (0.500, 0.500, 0.312)
Hg (0.500, 0.500, 0.688)

Formation enthalpy at 0 K = -0.220 eV per atom

DFT (PBE-GGA) results for a relaxed Nd4TeAsPb2 crystal.

Unit cell a=7.606 b=4.367 c=8.069 alpha=90.00 beta=108.12 gamma=90.00
Atoms (fractional coordinates):
Nd (0.231, 0.000, 0.229)
Nd (0.241, 0.500, 0.760)
Nd (0.759, 0.500, 0.240)
Nd (0.769, 0.000, 0.771)
Te (0.500, 0.000, 0.000)
As (0.000, 0.500, 0.000)
Pb (0.000, 0.000, 0.500)
Pb (0.500, 0.500, 0.500)

Uncorrected formation energy = -7.9 eV per formula unit